Record 1
Density functional theory data (PBEsol) for a geometry-optimized LaY2Mg structure.

Computed properties:
For the formation energy from the elements, the calculation gives -0.009 eV/f.u. As for the space-group type: Imm2 (44).

Lattice parameters (Å, degrees): 3.799 5.481 6.659 114.30 106.58 90.00
Fractional coordinates of all 4 atoms:
Y  0.977  0.977  0.954
Y  0.745  0.245  0.490
Mg  0.256  0.756  0.512
La  0.522  0.522  0.044

=====

Record 2
Density functional theory data (PBEsol) for a geometry-optimized LiYSn structure.

Computed properties:
For the formation energy from the elements, the calculation gives -2.144 eV/f.u. As for the space-group type: P6_3mc (186).

Lattice parameters (Å, degrees): 7.233 9.262 9.262 120.00 90.00 90.00
Fractional coordinates of all 24 atoms:
Li  0.301  0.167  0.833
Li  0.801  0.833  0.667
Li  0.801  0.333  0.167
Li  0.301  0.667  0.833
Li  0.301  0.167  0.333
Li  0.801  0.833  0.167
Li  0.695  0.333  0.667
Li  0.195  0.667  0.333
Y  0.510  0.511  0.489
Y  0.010  0.489  0.978
Y  0.010  0.022  0.511
Y  0.510  0.978  0.489
Y  0.510  0.511  0.022
Y  0.010  0.489  0.511
Y  0.514  0.000  0.000
Y  0.014  0.000  0.000
Sn  0.746  0.167  0.833
Sn  0.246  0.833  0.667
Sn  0.246  0.333  0.167
Sn  0.746  0.667  0.833
Sn  0.746  0.167  0.333
Sn  0.246  0.833  0.167
Sn  0.277  0.333  0.667
Sn  0.777  0.667  0.333

=====

Record 3
Density functional theory data (PBEsol) for a geometry-optimized MnCr structure.

Computed properties:
For the formation energy from the elements, the calculation gives 0.120 eV/f.u. As for the space-group type: Imma (74).

Lattice parameters (Å, degrees): 2.786 3.924 4.603 115.23 107.62 90.00
Fractional coordinates of all 4 atoms:
Cr  0.869  0.119  0.737
Cr  0.131  0.881  0.263
Mn  0.382  0.632  0.763
Mn  0.618  0.368  0.237

=====

Record 4
Density functional theory data (PBEsol) for a geometry-optimized Ba2SeBr structure.

Computed properties:
The calculation puts the polymorph energy (0 for the lowest one) at 22 meV/atom. As for the space-group type: P4/mmm (123).

Lattice parameters (Å, degrees): 4.615 4.615 6.508 90.00 90.00 90.00
Fractional coordinates of all 4 atoms:
Se  0.500  0.500  0.500
Ba  0.000  0.000  0.500
Ba  0.500  0.500  0.000
Br  0.000  0.000  0.000

=====

Let's list N(E_F) in order: 4.69; 0.69; 2.29; 1.52 states/eV/f.u..